[1]
{"formula": "LaReRu2", "functional": "PBE", "state": "relaxed", "n_ef_per_ev_cell": 4.92, "formation_energy_mev_per_atom": 472.5, "space_group": "No. 166", "total_energy_ev_per_cell": -34.04, "relative_energy_mev_per_atom": 336, "cell": [[1.434, 0.828, 9.737], [-1.434, 0.828, 9.737], [0.000, -1.656, 9.737]], "species": ["La", "Re", "Ru", "Ru"], "fractional_positions": [[0.000, 0.000, 0.000], [0.500, 0.500, 0.500], [0.238, 0.238, 0.238], [0.762, 0.762, 0.762]]}


[2]
{"formula": "Re2MoAu", "functional": "PBE", "state": "relaxed", "n_ef_per_ev_cell": 3.05, "formation_energy_mev_per_atom": 315.7, "space_group": "No. 139", "total_energy_ev_per_cell": -37.74, "relative_energy_mev_per_atom": 107, "cell": [[-1.986, 1.986, 3.960], [1.986, -1.986, 3.960], [1.986, 1.986, -3.960]], "species": ["Re", "Re", "Mo", "Au"], "fractional_positions": [[0.250, 0.750, 0.500], [0.750, 0.250, 0.500], [0.000, 0.000, 0.000], [0.500, 0.500, 0.000]]}


[3]
{"formula": "Cs2CuSbCl6", "functional": "PBE", "state": "relaxed", "space_group": "No. 225", "total_energy_ev_per_cell": -33.55, "e_form_raw_ev_per_atom": -1.254, "cell": [[0.000, 5.255, 5.255], [5.255, 0.000, 5.255], [5.255, 5.255, 0.000]], "species": ["Cs", "Cs", "Cu", "Sb", "Cl", "Cl", "Cl", "Cl", "Cl", "Cl"], "fractional_positions": [[0.250, 0.250, 0.250], [0.750, 0.750, 0.750], [0.000, 0.000, 0.000], [0.500, 0.500, 0.500], [0.243, 0.243, 0.757], [0.243, 0.757, 0.243], [0.243, 0.757, 0.757], [0.757, 0.243, 0.243], [0.757, 0.243, 0.757], [0.757, 0.757, 0.243]]}


Please write out number 1 again, unchanged.
{"formula": "LaReRu2", "functional": "PBE", "state": "relaxed", "n_ef_per_ev_cell": 4.92, "formation_energy_mev_per_atom": 472.5, "space_group": "No. 166", "total_energy_ev_per_cell": -34.04, "relative_energy_mev_per_atom": 336, "cell": [[1.434, 0.828, 9.737], [-1.434, 0.828, 9.737], [0.000, -1.656, 9.737]], "species": ["La", "Re", "Ru", "Ru"], "fractional_positions": [[0.000, 0.000, 0.000], [0.500, 0.500, 0.500], [0.238, 0.238, 0.238], [0.762, 0.762, 0.762]]}